[1]
VASP calculation (PBE) on crystalline Sr17Li6Hg9 at its relaxed geometry.

```
Sr17Li6Hg9
1.0
-11.837 3.896 -7.213
-1.526 -13.490 4.798
1.953 8.875 11.169
Li Hg Sr
12 18 34
Direct
0.000 0.148 0.852
0.148 0.852 0.000
0.705 0.852 0.852
0.852 0.852 0.705
0.295 0.148 0.148
0.852 0.705 0.852
0.148 0.000 0.852
0.148 0.295 0.148
0.000 0.852 0.148
0.852 0.000 0.148
0.852 0.148 0.000
0.148 0.148 0.295
0.295 0.295 0.590
0.000 0.768 0.768
0.590 0.295 0.295
0.295 0.705 0.000
0.295 0.590 0.295
0.000 0.295 0.705
0.705 0.410 0.705
0.768 0.768 0.000
0.000 0.705 0.295
0.705 0.000 0.295
0.410 0.705 0.705
0.232 0.000 0.232
0.232 0.232 0.000
0.705 0.705 0.410
0.768 0.000 0.768
0.295 0.000 0.705
0.000 0.232 0.232
0.705 0.295 0.000
0.000 0.188 0.449
0.812 0.000 0.551
0.500 0.250 0.750
0.500 0.000 0.500
0.812 0.261 0.812
0.551 0.812 0.000
0.500 0.750 0.250
0.000 0.812 0.551
0.000 0.500 0.500
0.188 0.188 0.739
0.250 0.500 0.750
0.188 0.000 0.449
0.739 0.551 0.551
0.551 0.739 0.551
0.188 0.449 0.000
0.000 0.000 0.000
0.449 0.188 0.000
0.500 0.500 0.000
0.449 0.261 0.449
0.551 0.000 0.812
0.551 0.551 0.739
0.449 0.000 0.188
0.261 0.449 0.449
0.188 0.739 0.188
0.000 0.551 0.812
0.739 0.188 0.188
0.750 0.500 0.250
0.812 0.551 0.000
0.000 0.449 0.188
0.250 0.750 0.500
0.812 0.812 0.261
0.750 0.250 0.500
0.449 0.449 0.261
0.261 0.812 0.812
```

Output
E_tot   -1.6718 eV/atom
SG   Im-3m (229)

[2]
VASP calculation (PBE) on crystalline SrLiHg3 at its relaxed geometry.

```
SrLiHg3
1.0
6.184 0.000 0.000
0.000 6.184 0.000
0.000 0.000 6.184
Sr Hg Li
1 3 1
Direct
0.000 0.000 0.000
0.500 0.000 0.000
0.000 0.000 0.500
0.000 0.500 0.000
0.500 0.500 0.500
```

Output
E_tot   -0.6918 eV/atom
SG   Pm-3m (221)

[3]
VASP calculation (PBE) on crystalline Sr2Li6Hg3 at its relaxed geometry.

```
Sr2Li6Hg3
1.0
-1.143 3.750 -2.441
-0.615 -4.662 -6.872
-6.659 1.140 4.867
Hg Li Sr
3 6 2
Direct
0.500 0.000 0.609
0.500 0.609 0.000
0.500 0.391 0.391
0.500 0.746 0.746
0.000 0.000 0.799
0.500 0.254 0.000
0.500 0.000 0.254
0.000 0.799 0.000
0.000 0.201 0.201
0.000 0.667 0.333
0.000 0.333 0.667
```

Output
E_tot   -1.6952 eV/atom
SG   P-62m (189)

[4]
VASP calculation (PBE) on crystalline Sr2Li2Hg at its relaxed geometry.

```
Sr2Li2Hg
1.0
5.492 0.000 2.089
-0.759 4.561 1.996
0.679 0.057 6.480
Li Sr Hg
2 2 1
Direct
0.762 0.500 0.000
0.238 0.500 0.000
0.309 0.809 0.383
0.691 0.191 0.617
0.000 0.000 0.000
```

Output
E_tot   -1.7004 eV/atom
SG   Immm (71)

> What is the formula in the second record?

SrLiHg3